A) A plane-wave DFT calculation with meta-GGA SCAN was carried out for a crystal of RbCuI2 relaxed with PBEsol.

Cell and atoms, written as POSCAR:
```
RbCuI2
1.0
7.128 0.131 0.210
-2.650 6.618 -0.210
-2.650 -3.102 5.850
I Cu Rb
4 2 2
Cartesian
4.702 3.219 0.810 I
-1.549 -0.451 3.630 I
2.014 1.093 2.813 I
-1.512 3.433 4.447 I
-2.650 1.758 2.820 Cu
0.914 -0.606 4.440 Cu
0.000 0.000 0.000 Rb
0.914 4.253 1.410 Rb
```



B) A plane-wave DFT calculation with meta-GGA SCAN was carried out for a crystal of RbCuI2 relaxed with PBEsol.

Cell and atoms, written as POSCAR:
```
RbCuI2
1.0
-1.031 -0.919 -5.428
-2.736 -4.622 -1.587
-5.234 0.377 -1.960
I Cu Rb
2 1 1
Cartesian
-2.250 -1.291 -2.244 I
-6.750 -3.873 -6.731 I
0.000 0.000 0.000 Cu
-4.500 -2.582 -4.487 Rb
```



The structure with the greatest stability is A).